Entry from Alexandria via LeMat-Bulk: a geometry-optimized KHoCoO3 structure (PBE with a Hubbard U).

The structure in extended XYZ format:
```
12
Lattice="3.5079 0.0000 0.0000 0.0000 7.2964 -0.6287 0.0000 -2.5743 8.9521" Properties=species:S:1:pos:R:3 pbc="T T T"
Ho 0.8770 4.5234 0.8530
Co 0.8770 -1.3073 5.5058
O 2.6309 3.0693 0.7396
O 2.6309 6.0828 0.8680
O 2.6309 -0.3499 5.2073
O 0.8770 -1.3607 7.4555
Ho 2.6309 0.1987 7.4704
O 0.8770 1.6528 7.5838
K 0.8770 1.0036 1.3845
Co 2.6309 6.0294 2.8176
K 2.6309 3.7185 6.9389
O 0.8770 5.0720 3.1161
```

Summary:
Calculated density: 4.62 g/cm³
SG: P2_1/m, No. 11
D(E_F): 0.0 states/eV/cell
VASP energy: -6.40 eV/atom